Computed, not measured: a relaxed structure of In4AgTe at the PBE level of DFT.

Cell: 6.222 6.222 6.222 Å, 60.00 60.00 60.00°
Positions (direct):
1 In 0.375 0.375 0.375
2 In 0.876 0.375 0.375
3 In 0.375 0.375 0.876
4 In 0.375 0.876 0.375
5 Ag 0.000 0.000 0.000
6 Te 0.750 0.750 0.750

Output
- Energy: -15.680 eV/cell
- SG: F-43m, No. 216
- Uncorrected formation energy: 0.211 eV per atom